A PBEsol-optimized structure of ZnSbAu2, computed with SCAN.

```
ZnSbAu2
1.0
4.726 0.000 0.000
2.363 4.093 0.000
2.363 1.364 3.859
Au Zn Sb
2 1 1
direct
0.000 0.000 0.000
0.750 0.750 0.750
0.250 0.250 0.250
0.500 0.500 0.500
```

## Properties
**Energy above the most stable polymorph in this dataset**: 6.90 kcal/mol of atoms
**Energy relative to the elements, uncorrected**: 19.0 kJ per mole of atoms
**Space group**: F-43m (216)

***

A PBEsol-optimized structure of TlCd2Pd2, computed with SCAN.

```
TlCd2Pd2
1.0
3.503 0.000 0.000
0.000 7.308 0.000
0.000 0.000 7.308
Pd Cd Tl
4 4 2
direct
0.000 0.645 0.145
0.000 0.855 0.645
0.000 0.355 0.855
0.000 0.145 0.355
0.500 0.349 0.151
0.500 0.651 0.849
0.500 0.849 0.349
0.500 0.151 0.651
0.000 0.000 0.000
0.000 0.500 0.500
```

## Properties
**Calculated formation energy**: -268 meV/atom
**Space group**: P4/mbm (127)

***

A PBEsol-optimized structure of ZnP2CCl, computed with SCAN.

```
ZnP2CCl
1.0
4.590 0.000 0.000
0.000 4.590 0.000
0.000 0.000 4.598
Zn P Cl C
1 2 1 1
direct
0.000 0.000 0.000
0.500 0.000 0.000
0.000 0.500 0.000
0.000 0.000 0.500
0.500 0.500 0.500
```

## Properties
**Energy relative to the elements, uncorrected**: 188.9 kJ per mole of atoms
**Space group**: P4/mmm (123)